Below is a relaxed structure of AcU2Tl3Te6, with properties calculated at the PBE-GGA level.

```
data_AcU2Tl3Te6
_chemical_formula_sum 'Ac1 U2 Tl3 Te6'
_cell_length_a 7.909
_cell_length_b 7.909
_cell_length_c 8.654
_cell_angle_alpha 98.77
_cell_angle_beta 98.77
_cell_angle_gamma 119.95
_space_group_name_H-M_alt 'P 1'
_space_group_IT_number 1
loop_
_space_group_symop_operation_xyz
'x,y,z'
loop_
_atom_site_label
_atom_site_fract_x
_atom_site_fract_y
_atom_site_fract_z
_atom_site_occupancy
Ac1 0.000 0.000 0.000 1
U1 0.332 0.668 0.000 1
U2 0.668 0.332 0.000 1
Tl1 0.162 0.838 0.500 1
Tl2 0.500 0.500 0.500 1
Tl3 0.838 0.162 0.500 1
Te1 0.075 0.425 0.222 1
Te2 0.279 0.279 0.783 1
Te3 0.425 0.075 0.222 1
Te4 0.575 0.925 0.778 1
Te5 0.721 0.721 0.217 1
Te6 0.925 0.575 0.778 1
```

## Properties
E_tot   -5.095 eV/atom
Mass density   7.7 g/cm³
Uncorrected formation energy   -0.7090 eV per atom
Symmetry   C2/m (12)

***

Below is a relaxed structure of Ac2UTl3Te6, with properties calculated at the PBE-GGA level.

```
data_Ac2UTl3Te6
_chemical_formula_sum 'Ac2 U1 Tl3 Te6'
_cell_length_a 8.154
_cell_length_b 8.154
_cell_length_c 8.620
_cell_angle_alpha 99.08
_cell_angle_beta 99.08
_cell_angle_gamma 119.96
_space_group_name_H-M_alt 'P 1'
_space_group_IT_number 1
loop_
_space_group_symop_operation_xyz
'x,y,z'
loop_
_atom_site_label
_atom_site_fract_x
_atom_site_fract_y
_atom_site_fract_z
_atom_site_occupancy
Ac1 0.166 0.834 0.000 1
Ac2 0.834 0.166 0.000 1
U1 0.500 0.500 0.000 1
Tl1 0.000 0.000 0.500 1
Tl2 0.331 0.669 0.500 1
Tl3 0.669 0.331 0.500 1
Te1 0.107 0.426 0.776 1
Te2 0.257 0.257 0.227 1
Te3 0.426 0.107 0.776 1
Te4 0.574 0.893 0.224 1
Te5 0.743 0.743 0.773 1
Te6 0.893 0.574 0.224 1
```

## Properties
E_tot   -4.709 eV/atom
Mass density   7.3 g/cm³
Uncorrected formation energy   -0.9211 eV per atom
Symmetry   C2/m (12)

***

Below is a relaxed structure of Ac3UTl3Te8, with properties calculated at the PBE-GGA level.

```
data_Ac3UTl3Te8
_chemical_formula_sum 'Ac3 U1 Tl3 Te8'
_cell_length_a 9.475
_cell_length_b 9.475
_cell_length_c 9.843
_cell_angle_alpha 118.68
_cell_angle_beta 118.68
_cell_angle_gamma 60.11
_space_group_name_H-M_alt 'P 1'
_space_group_IT_number 1
loop_
_space_group_symop_operation_xyz
'x,y,z'
loop_
_atom_site_label
_atom_site_fract_x
_atom_site_fract_y
_atom_site_fract_z
_atom_site_occupancy
Ac1 0.000 0.000 0.000 1
Ac2 0.000 0.500 0.000 1
Ac3 0.500 0.000 0.000 1
U1 0.500 0.500 0.000 1
Tl1 0.000 0.500 0.500 1
Tl2 0.500 0.000 0.500 1
Tl3 0.500 0.500 0.500 1
Te1 0.243 0.243 0.230 1
Te2 0.262 0.727 0.216 1
Te3 0.273 0.273 0.784 1
Te4 0.273 0.738 0.784 1
Te5 0.727 0.262 0.216 1
Te6 0.727 0.727 0.216 1
Te7 0.738 0.273 0.784 1
Te8 0.757 0.757 0.770 1
```

## Properties
E_tot   -4.746 eV/atom
Mass density   6.6 g/cm³
Uncorrected formation energy   -1.0230 eV per atom
Symmetry   C2/m (12)

***

Below is a relaxed structure of AcY2Tl3Te6, with properties calculated at the PBE-GGA level.

```
data_AcY2Tl3Te6
_chemical_formula_sum 'Ac1 Y2 Tl3 Te6'
_cell_length_a 7.927
_cell_length_b 7.927
_cell_length_c 8.587
_cell_angle_alpha 98.88
_cell_angle_beta 98.88
_cell_angle_gamma 119.92
_space_group_name_H-M_alt 'P 1'
_space_group_IT_number 1
loop_
_space_group_symop_operation_xyz
'x,y,z'
loop_
_atom_site_label
_atom_site_fract_x
_atom_site_fract_y
_atom_site_fract_z
_atom_site_occupancy
Ac1 0.000 0.000 0.000 1
Y1 0.333 0.667 0.000 1
Y2 0.667 0.333 0.000 1
Tl1 0.162 0.838 0.500 1
Tl2 0.500 0.500 0.500 1
Tl3 0.838 0.162 0.500 1
Te1 0.073 0.425 0.220 1
Te2 0.280 0.280 0.785 1
Te3 0.425 0.073 0.220 1
Te4 0.575 0.927 0.780 1
Te5 0.720 0.720 0.215 1
Te6 0.927 0.575 0.780 1
```

## Properties
E_tot   -4.670 eV/atom
Mass density   6.7 g/cm³
Uncorrected formation energy   -1.0874 eV per atom
Symmetry   C2/m (12)

***

Below is a relaxed structure of Ac2YTl3Te6, with properties calculated at the PBE-GGA level.

```
data_Ac2YTl3Te6
_chemical_formula_sum 'Ac2 Y1 Tl3 Te6'
_cell_length_a 8.133
_cell_length_b 8.133
_cell_length_c 8.602
_cell_angle_alpha 99.09
_cell_angle_beta 99.09
_cell_angle_gamma 119.93
_space_group_name_H-M_alt 'P 1'
_space_group_IT_number 1
loop_
_space_group_symop_operation_xyz
'x,y,z'
loop_
_atom_site_label
_atom_site_fract_x
_atom_site_fract_y
_atom_site_fract_z
_atom_site_occupancy
Ac1 0.166 0.834 0.000 1
Ac2 0.834 0.166 0.000 1
Y1 0.500 0.500 0.000 1
Tl1 0.000 0.000 0.500 1
Tl2 0.330 0.670 0.500 1
Tl3 0.670 0.330 0.500 1
Te1 0.111 0.426 0.778 1
Te2 0.260 0.260 0.226 1
Te3 0.426 0.111 0.778 1
Te4 0.574 0.889 0.222 1
Te5 0.740 0.740 0.774 1
Te6 0.889 0.574 0.222 1
```

## Properties
E_tot   -4.499 eV/atom
Mass density   6.8 g/cm³
Uncorrected formation energy   -1.1133 eV per atom
Symmetry   C2/m (12)

***

Below is a relaxed structure of Ac3ZrTl3Te8, with properties calculated at the PBE-GGA level.

```
data_Ac3ZrTl3Te8
_chemical_formula_sum 'Ac3 Zr1 Tl3 Te8'
_cell_length_a 9.838
_cell_length_b 9.838
_cell_length_c 9.838
_cell_angle_alpha 56.73
_cell_angle_beta 56.73
_cell_angle_gamma 56.73
_space_group_name_H-M_alt 'P 1'
_space_group_IT_number 1
loop_
_space_group_symop_operation_xyz
'x,y,z'
loop_
_atom_site_label
_atom_site_fract_x
_atom_site_fract_y
_atom_site_fract_z
_atom_site_occupancy
Ac1 0.000 0.500 0.500 1
Ac2 0.500 0.000 0.500 1
Ac3 0.500 0.500 0.000 1
Zr1 0.000 0.000 0.000 1
Tl1 0.000 0.000 0.500 1
Tl2 0.000 0.500 0.000 1
Tl3 0.500 0.000 0.000 1
Te1 0.220 0.220 0.772 1
Te2 0.220 0.772 0.220 1
Te3 0.228 0.780 0.780 1
Te4 0.256 0.256 0.256 1
Te5 0.744 0.744 0.744 1
Te6 0.772 0.220 0.220 1
Te7 0.780 0.228 0.780 1
Te8 0.780 0.780 0.228 1
```

## Properties
E_tot   -4.601 eV/atom
Mass density   6.4 g/cm³
Uncorrected formation energy   -1.0607 eV per atom
Symmetry   R-3m (166)

***

Below is a relaxed structure of Ac2TmTe, with properties calculated at the PBE-GGA level.

```
data_Ac2TmTe
_chemical_formula_sum 'Ac2 Tm1 Te1'
_cell_length_a 4.129
_cell_length_b 4.129
_cell_length_c 8.660
_cell_angle_alpha 90.00
_cell_angle_beta 90.00
_cell_angle_gamma 90.00
_space_group_name_H-M_alt 'P 1'
_space_group_IT_number 1
loop_
_space_group_symop_operation_xyz
'x,y,z'
loop_
_atom_site_label
_atom_site_fract_x
_atom_site_fract_y
_atom_site_fract_z
_atom_site_occupancy
Ac1 0.000 0.000 0.229 1
Ac2 0.000 0.000 0.771 1
Tm1 0.500 0.500 0.500 1
Te1 0.500 0.500 0.000 1
```

## Properties
Energy above the most stable polymorph in this dataset   0.000 eV per atom
E_tot   -4.489 eV/atom
Mass density   8.4 g/cm³
Uncorrected formation energy   -0.5317 eV per atom
Symmetry   P4/mmm (123)

***

Below is a relaxed structure of Ac4TmTe5, with properties calculated at the PBE-GGA level.

```
data_Ac4TmTe5
_chemical_formula_sum 'Ac4 Tm1 Te5'
_cell_length_a 16.855
_cell_length_b 16.855
_cell_length_c 16.855
_cell_angle_alpha 164.15
_cell_angle_beta 164.15
_cell_angle_gamma 22.49
_space_group_name_H-M_alt 'P 1'
_space_group_IT_number 1
loop_
_space_group_symop_operation_xyz
'x,y,z'
loop_
_atom_site_label
_atom_site_fract_x
_atom_site_fract_y
_atom_site_fract_z
_atom_site_occupancy
Ac1 0.102 0.102 0.000 1
Ac2 0.308 0.308 0.000 1
Ac3 0.692 0.692 0.000 1
Ac4 0.898 0.898 0.000 1
Tm1 0.500 0.500 0.000 1
Te1 0.000 0.000 0.000 1
Te2 0.204 0.204 0.000 1
Te3 0.409 0.409 0.000 1
Te4 0.591 0.591 0.000 1
Te5 0.796 0.796 0.000 1
```

## Properties
Energy above the most stable polymorph in this dataset   0.031 eV per atom
E_tot   -5.051 eV/atom
Mass density   8.0 g/cm³
Uncorrected formation energy   -1.3892 eV per atom
Symmetry   I4/mmm (139)

***

Below is a relaxed structure of AcTm2Te, with properties calculated at the PBE-GGA level.

```
data_AcTm2Te
_chemical_formula_sum 'Ac1 Tm2 Te1'
_cell_length_a 11.400
_cell_length_b 11.400
_cell_length_c 11.400
_cell_angle_alpha 19.41
_cell_angle_beta 19.41
_cell_angle_gamma 19.41
_space_group_name_H-M_alt 'P 1'
_space_group_IT_number 1
loop_
_space_group_symop_operation_xyz
'x,y,z'
loop_
_atom_site_label
_atom_site_fract_x
_atom_site_fract_y
_atom_site_fract_z
_atom_site_occupancy
Ac1 0.000 0.000 0.000 1
Tm1 0.106 0.106 0.106 1
Tm2 0.894 0.894 0.894 1
Te1 0.500 0.500 0.500 1
```

## Properties
Energy above the most stable polymorph in this dataset   0.247 eV per atom
E_tot   -4.302 eV/atom
Mass density   8.0 g/cm³
Uncorrected formation energy   -0.2534 eV per atom
Symmetry   R-3m (166)

***

Below is a relaxed structure of Ac5Tm2Te12, with properties calculated at the PBE-GGA level.

```
data_Ac5Tm2Te12
_chemical_formula_sum 'Ac5 Tm2 Te12'
_cell_length_a 9.842
_cell_length_b 9.842
_cell_length_c 10.387
_cell_angle_alpha 101.79
_cell_angle_beta 101.79
_cell_angle_gamma 51.71
_space_group_name_H-M_alt 'P 1'
_space_group_IT_number 1
loop_
_space_group_symop_operation_xyz
'x,y,z'
loop_
_atom_site_label
_atom_site_fract_x
_atom_site_fract_y
_atom_site_fract_z
_atom_site_occupancy
Ac1 0.000 0.000 0.000 1
Ac2 0.294 0.294 0.152 1
Ac3 0.324 0.324 0.688 1
Ac4 0.676 0.676 0.312 1
Ac5 0.706 0.706 0.848 1
Tm1 0.253 0.747 0.500 1
Tm2 0.747 0.253 0.500 1
Te1 0.033 0.033 0.702 1
Te2 0.067 0.579 0.426 1
Te3 0.104 0.601 0.937 1
Te4 0.399 0.896 0.063 1
Te5 0.421 0.933 0.574 1
Te6 0.488 0.488 0.288 1
Te7 0.512 0.512 0.712 1
Te8 0.579 0.067 0.426 1
Te9 0.601 0.104 0.937 1
Te10 0.896 0.399 0.063 1
Te11 0.933 0.421 0.574 1
Te12 0.967 0.967 0.298 1
```

## Properties
E_tot   -4.846 eV/atom
Mass density   6.5 g/cm³
Uncorrected formation energy   -1.3103 eV per atom
Symmetry   C2/m (12)